This record from the Alexandria database describes crystalline SbRuIN2 at its relaxed geometry. The functional is GGA-PBE.

Lattice parameters (Å, degrees): 3.9129 3.9129 7.1553 90.00 90.00 90.00
Closest atoms and distances in Å follow each position.
Space group P4/mmm (No. 123)
One atom of each set of equivalent atoms:
Sb: 0.0000 0.0000 0.0000  4 Ru 2.77
Ru: 0.5000 0.5000 0.0000  4 Sb 2.77
I: 0.0000 0.0000 0.5000  4 N 1.96
N: 0.0000 0.5000 0.5000  2 I 1.96

Computed properties:
E_tot = -4.15 eV per atom
offset from the most stable computed form = 876 meV/atom
size of the total moment = 0.320 μB per atom
Fermi-level density of states = 4.5 states/eV/cell